Entry 1:
First-principles (PBE) data for crystalline LiNiBi2 at its relaxed geometry, as listed in Alexandria via LeMat-Bulk.

Cell: 4.9117 4.9117 4.9117 Å, 60.00 60.00 60.00°
With the nearest neighbours (Å) after each atom.
Element x y z (fractional)
Li  0.0000  0.0000  0.0000  8 Bi 3.01
Ni  0.5000  0.5000  0.5000  8 Bi 3.01
Bi  0.2500  0.2500  0.2500  4 Li 3.01, 4 Ni 3.01
Bi  0.7500  0.7500  0.7500  4 Li 3.01, 4 Ni 3.01

- Mass density: 9.6 Mg/m³
- Energy relative to the elements: -0.052 eV/atom
- Space group: Fm-3m (225)
- Calculated volume: 83.79 Å³/f.u.
- E: -15.66 eV/cell
- Excess energy over the best structure of this formula in the dataset: 134 meV per atom

Entry 2:
First-principles (PBE) data for crystalline LiNi2Bi2 at its relaxed geometry, as listed in Alexandria via LeMat-Bulk.

Cell: 8.5447 8.5447 8.5447 Å, 156.05 156.05 34.13°
With the nearest neighbours (Å) after each atom.
Element x y z (fractional)
Li  0.0000  0.0000  0.0000  8 Bi 3.24, 4 Li 3.55
Ni  0.2500  0.7500  0.5000  4 Ni 2.51, 4 Bi 2.70
Ni  0.7500  0.2500  0.5000  4 Ni 2.51, 4 Bi 2.70
Bi  0.3742  0.3742  0.0000  4 Ni 2.70
Bi  0.6258  0.6258  0.0000  4 Ni 2.70

- Mass density: 8.8 Mg/m³
- Energy relative to the elements: -0.021 eV/atom
- Space group: I4/mmm (139)
- Calculated volume: 102.74 Å³/f.u.
- E: -21.34 eV/cell
- Excess energy over the best structure of this formula in the dataset: 0 meV per atom

Entry 3:
First-principles (PBE) data for crystalline Li3NiBi at its relaxed geometry, as listed in Alexandria via LeMat-Bulk.

Cell: 4.5267 4.5267 4.5267 Å, 90.00 90.00 90.00°
With the nearest neighbours (Å) after each atom.
Element x y z (fractional)
Li  0.0000  0.0000  0.5000  2 Ni 2.26
Li  0.0000  0.5000  0.0000  2 Ni 2.26
Li  0.5000  0.0000  0.0000  2 Ni 2.26
Ni  0.0000  0.0000  0.0000  6 Li 2.26
Bi  0.5000  0.5000  0.5000  12 Li 3.20

- Mass density: 5.2 Mg/m³
- Energy relative to the elements: 0.128 eV/atom
- Space group: Pm-3m (221)
- Calculated volume: 92.76 Å³/f.u.
- E: -14.76 eV/cell
- Excess energy over the best structure of this formula in the dataset: 0 meV per atom

- Number 3 is which compound?
  Li3NiBi

- The highest calculated volume belongs to which entry?
  LiNi2Bi2